The following is a DFT calculation (PBEsol) of crystalline OsCl at its relaxed geometry.

Lattice parameters (Å, degrees): 2.787 2.787 9.254 90.00 90.00 120.00
Fractional coordinates of all 4 atoms:
Os (0.333, 0.667, 0.000)
Os (0.667, 0.333, 0.500)
Cl (0.333, 0.667, 0.235)
Cl (0.667, 0.333, 0.735)

Summary:
calculated density	12.04	g cm⁻³
SG	P6_3mc
raw formation energy	0.903	eV per atom
final energy	-12.42	eV/f.u.
V	62	Å³/cell


The following is a DFT calculation (PBEsol) of crystalline HfMn at its relaxed geometry.

Lattice parameters (Å, degrees): 8.079 8.079 8.079 60.00 60.00 60.00
Fractional coordinates of all 24 atoms:
Hf (0.073, 0.073, 0.677)
Hf (0.073, 0.677, 0.073)
Hf (0.073, 0.677, 0.677)
Hf (0.323, 0.323, 0.927)
Hf (0.323, 0.927, 0.323)
Hf (0.323, 0.927, 0.927)
Hf (0.677, 0.073, 0.073)
Hf (0.677, 0.073, 0.677)
Hf (0.677, 0.677, 0.073)
Hf (0.927, 0.323, 0.323)
Hf (0.927, 0.323, 0.927)
Hf (0.927, 0.927, 0.323)
Mn (0.000, 0.500, 0.500)
Mn (0.300, 0.300, 0.300)
Mn (0.300, 0.300, 0.601)
Mn (0.300, 0.601, 0.300)
Mn (0.399, 0.700, 0.700)
Mn (0.500, 0.000, 0.500)
Mn (0.500, 0.500, 0.000)
Mn (0.500, 0.500, 0.500)
Mn (0.601, 0.300, 0.300)
Mn (0.700, 0.399, 0.700)
Mn (0.700, 0.700, 0.399)
Mn (0.700, 0.700, 0.700)

Summary:
ΔH_f (0 K)	-181	meV/atom
calculated density	12.47	g cm⁻³
SG	Fd-3m
final energy	-20.63	eV/f.u.
V	373	Å³/cell


The following is a DFT calculation (PBEsol) of crystalline Li4Fe3Cu2Sn3O16 at its relaxed geometry.

Lattice parameters (Å, degrees): 5.928 5.928 9.692 97.23 97.23 59.93
Fractional coordinates of all 28 atoms:
Li (0.000, 0.000, 0.000)
Li (0.229, 0.229, 0.578)
Li (0.534, 0.534, 0.072)
Li (0.930, 0.930, 0.478)
Fe (0.054, 0.054, 0.261)
Fe (0.266, 0.749, 0.752)
Fe (0.749, 0.266, 0.752)
Cu (0.275, 0.275, 0.931)
Cu (0.573, 0.573, 0.476)
Sn (0.049, 0.546, 0.249)
Sn (0.546, 0.049, 0.249)
Sn (0.759, 0.759, 0.761)
O (0.099, 0.099, 0.842)
O (0.121, 0.637, 0.868)
O (0.220, 0.754, 0.368)
O (0.223, 0.223, 0.370)
O (0.328, 0.891, 0.146)
O (0.359, 0.359, 0.125)
O (0.413, 0.863, 0.634)
O (0.422, 0.422, 0.653)
O (0.594, 0.594, 0.863)
O (0.637, 0.121, 0.868)
O (0.748, 0.748, 0.377)
O (0.754, 0.220, 0.368)
O (0.863, 0.413, 0.634)
O (0.883, 0.883, 0.144)
O (0.891, 0.328, 0.146)
O (0.922, 0.922, 0.658)

Summary:
calculated density	5.32	g cm⁻³
SG	Cm
raw formation energy	-1.401	eV per atom
final energy	-179.43	eV/f.u.
V	292	Å³/cell


The following is a DFT calculation (PBEsol) of crystalline Ba2InRh2 at its relaxed geometry.

Lattice parameters (Å, degrees): 10.856 10.856 10.856 160.78 160.78 27.32
Fractional coordinates of all 5 atoms:
Ba (0.124, 0.124, 0.000)
Ba (0.876, 0.876, 0.000)
In (0.500, 0.500, 0.000)
Rh (0.250, 0.750, 0.500)
Rh (0.750, 0.250, 0.500)

Summary:
ΔH_f (0 K)	66	meV/atom
calculated density	7.13	g cm⁻³
SG	I4/mmm
final energy	-23.23	eV/f.u.
V	139	Å³/cell


The following is a DFT calculation (PBEsol) of crystalline Mg2CrPb at its relaxed geometry.

Lattice parameters (Å, degrees): 4.284 4.284 4.410 90.00 90.00 90.00
Fractional coordinates of all 4 atoms:
Mg (0.000, 0.500, 0.000)
Mg (0.500, 0.000, 0.000)
Cr (0.000, 0.000, 0.500)
Pb (0.500, 0.500, 0.500)

Summary:
ΔH_f (0 K)	248	meV/atom
calculated density	6.32	g cm⁻³
SG	P4/mmm
final energy	-16.68	eV/f.u.
V	81	Å³/cell


The following is a DFT calculation (PBEsol) of crystalline NiTeAs4 at its relaxed geometry.

Lattice parameters (Å, degrees): 5.484 5.484 5.484 60.00 60.00 60.00
Fractional coordinates of all 6 atoms:
Ni (0.000, 0.000, 0.000)
Te (0.250, 0.250, 0.250)
As (0.119, 0.627, 0.627)
As (0.627, 0.119, 0.627)
As (0.627, 0.627, 0.119)
As (0.627, 0.627, 0.627)

Summary:
calculated density	6.92	g cm⁻³
SG	F-43m
raw formation energy	0.686	eV per atom
final energy	-25.99	eV/f.u.
V	117	Å³/cell


The following is a DFT calculation (PBEsol) of crystalline SiSe5 at its relaxed geometry.

Lattice parameters (Å, degrees): 6.706 6.706 5.355 90.00 90.00 149.07
Fractional coordinates of all 6 atoms:
Si (0.000, 0.000, 0.000)
Se (0.000, 0.000, 0.500)
Se (0.333, 0.667, 0.500)
Se (0.361, 0.639, 0.000)
Se (0.639, 0.361, 0.000)
Se (0.667, 0.333, 0.500)

Summary:
calculated density	5.67	g cm⁻³
SG	Cmmm
raw formation energy	-0.003	eV per atom
final energy	-25.01	eV/f.u.
V	124	Å³/cell


The following is a DFT calculation (PBEsol) of crystalline Y5Ru3 at its relaxed geometry.

Lattice parameters (Å, degrees): 8.092 8.092 6.261 90.00 90.00 120.00
Fractional coordinates of all 16 atoms:
Y (0.000, 0.259, 0.250)
Y (0.000, 0.741, 0.750)
Y (0.259, 0.000, 0.250)
Y (0.259, 0.259, 0.750)
Y (0.333, 0.667, 0.000)
Y (0.333, 0.667, 0.500)
Y (0.667, 0.333, 0.000)
Y (0.667, 0.333, 0.500)
Y (0.741, 0.000, 0.750)
Y (0.741, 0.741, 0.250)
Ru (0.000, 0.394, 0.750)
Ru (0.000, 0.606, 0.250)
Ru (0.394, 0.000, 0.750)
Ru (0.394, 0.394, 0.250)
Ru (0.606, 0.000, 0.250)
Ru (0.606, 0.606, 0.750)

Summary:
ΔH_f (0 K)	-269	meV/atom
calculated density	6.99	g cm⁻³
SG	P6_3/mcm
final energy	-66.78	eV/f.u.
V	355	Å³/cell